[1]
VASP calculation (PBE-GGA) on a relaxed structure of TbZrB12.

a b c (Å): 4.080 4.080 8.146
angles (deg): 90.00 90.00 90.00
Positions (direct):
Tb  0.000  0.000  0.000
Zr  0.000  0.000  0.500
B  0.198  0.500  0.252
B  0.198  0.500  0.748
B  0.500  0.198  0.252
B  0.500  0.198  0.748
B  0.500  0.500  0.100
B  0.500  0.500  0.402
B  0.500  0.500  0.598
B  0.500  0.500  0.900
B  0.500  0.802  0.252
B  0.500  0.802  0.748
B  0.802  0.500  0.252
B  0.802  0.500  0.748

Results
For the calculated volume, the calculation gives 135.6 Å³/cell. The calculation puts the calculated formation energy at -296 kJ/mol of formula units. Its total magnetization is 0.00 Bohr magnetons per cell.



[2]
VASP calculation (PBE-GGA) on a relaxed structure of Rb2TiSeCl6.

a b c (Å): 7.427 7.427 7.427
angles (deg): 112.01 112.01 104.50
Positions (direct):
Rb  0.250  0.750  0.500
Rb  0.750  0.250  0.500
Ti  0.000  0.000  0.000
Se  0.500  0.500  0.000
Cl  0.205  0.205  0.409
Cl  0.205  0.795  0.000
Cl  0.248  0.248  0.000
Cl  0.752  0.752  0.000
Cl  0.795  0.205  0.000
Cl  0.795  0.795  0.591

Results
For the calculated volume, the calculation gives 313.6 Å³/cell. Its total magnetization is 0.00 Bohr magnetons per cell. For the raw formation energy, the calculation gives -1.32 eV per atom.



[3]
VASP calculation (PBE-GGA) on a relaxed structure of InMoPt2.

a b c (Å): 3.322 3.322 6.176
angles (deg): 90.00 90.00 90.00
Positions (direct):
In  0.000  0.000  0.000
Mo  0.500  0.500  0.293
Pt  0.000  0.000  0.500
Pt  0.500  0.500  0.758

Results
For the calculated volume, the calculation gives 68.1 Å³/cell. The calculation puts the calculated formation energy at -30 kJ/mol of formula units. Its total magnetization is 0.00 Bohr magnetons per cell.



[4]
VASP calculation (PBE-GGA) on a relaxed structure of ErPuPa2.

a b c (Å): 3.285 3.285 9.486
angles (deg): 90.00 90.00 90.00
Positions (direct):
Er  0.000  0.000  0.000
Pu  0.000  0.000  0.500
Pa  0.500  0.500  0.268
Pa  0.500  0.500  0.732

Results
For the calculated volume, the calculation gives 102.4 Å³/cell. As for the polymorph energy (0 for the lowest one): 0.000 eV/atom. The calculation puts the calculated formation energy at 67 kJ/mol of formula units. Its total magnetization is 4.32 Bohr magnetons per cell.



[5]
VASP calculation (PBE-GGA) on a relaxed structure of BaTlOs2S.

a b c (Å): 5.148 5.148 5.561
angles (deg): 90.00 90.00 90.00
Positions (direct):
Ba  0.000  0.000  0.000
Tl  0.500  0.500  0.500
Os  0.000  0.500  0.500
Os  0.500  0.000  0.500
S  0.500  0.500  0.000

Results
For the calculated volume, the calculation gives 147.4 Å³/cell. Its total magnetization is 4.72 Bohr magnetons per cell. For the raw formation energy, the calculation gives 1.58 eV per atom.



[6]
VASP calculation (PBE-GGA) on a relaxed structure of ScSiMo.

a b c (Å): 3.330 3.330 9.063
angles (deg): 90.00 90.00 90.00
Positions (direct):
Sc  0.000  0.000  0.000
Sc  0.500  0.500  0.500
Si  0.000  0.000  0.688
Si  0.500  0.500  0.188
Mo  0.000  0.000  0.310
Mo  0.500  0.500  0.810

Results
For the calculated volume, the calculation gives 100.5 Å³/cell. Its total magnetization is 1.07 Bohr magnetons per cell. For the raw formation energy, the calculation gives -0.35 eV per atom.



[7]
VASP calculation (PBE-GGA) on a relaxed structure of In2GaI4.

a b c (Å): 5.748 5.748 17.278
angles (deg): 90.00 90.00 90.00
Positions (direct):
In  0.000  0.000  0.139
In  0.000  0.000  0.861
In  0.500  0.500  0.361
In  0.500  0.500  0.639
Ga  0.000  0.000  0.500
Ga  0.500  0.500  0.000
I  0.000  0.000  0.327
I  0.000  0.000  0.673
I  0.000  0.500  0.000
I  0.000  0.500  0.500
I  0.500  0.000  0.000
I  0.500  0.000  0.500
I  0.500  0.500  0.173
I  0.500  0.500  0.827

Results
For the calculated volume, the calculation gives 570.9 Å³/cell. As for the polymorph energy (0 for the lowest one): 0.025 eV/atom. Its total magnetization is 0.00 Bohr magnetons per cell. For the raw formation energy, the calculation gives -0.36 eV per atom.



[8]
VASP calculation (PBE-GGA) on a relaxed structure of YScHg4.

a b c (Å): 12.099 3.478 7.011
angles (deg): 90.00 106.78 90.00
Positions (direct):
Y  0.000  0.000  0.000
Y  0.500  0.500  0.000
Sc  0.000  0.000  0.500
Sc  0.500  0.500  0.500
Hg  0.162  0.500  0.343
Hg  0.167  0.500  0.823
Hg  0.333  0.000  0.177
Hg  0.338  0.000  0.657
Hg  0.662  0.000  0.343
Hg  0.667  0.000  0.823
Hg  0.833  0.500  0.177
Hg  0.838  0.500  0.657

Results
For the calculated volume, the calculation gives 282.5 Å³/cell. As for the polymorph energy (0 for the lowest one): 0.033 eV/atom. The calculation puts the calculated formation energy at -177 kJ/mol of formula units. Its total magnetization is 1.11 Bohr magnetons per cell.



[9]
VASP calculation (PBE-GGA) on a relaxed structure of DyGa8Tc4.

a b c (Å): 6.896 6.896 6.896
angles (deg): 98.28 98.28 135.39
Positions (direct):
Dy  0.000  0.000  0.000
Ga  0.000  0.346  0.346
Ga  0.000  0.654  0.654
Ga  0.288  0.500  0.788
Ga  0.346  0.000  0.346
Ga  0.500  0.288  0.788
Ga  0.500  0.712  0.212
Ga  0.654  0.000  0.654
Ga  0.712  0.500  0.212
Tc  0.000  0.000  0.500
Tc  0.000  0.500  0.000
Tc  0.500  0.000  0.000
Tc  0.500  0.500  0.500

Results
For the calculated volume, the calculation gives 213.1 Å³/cell. The calculation puts the calculated formation energy at -351 kJ/mol of formula units. Its total magnetization is 0.00 Bohr magnetons per cell.



[10]
VASP calculation (PBE-GGA) on a relaxed structure of Cd2NiBiPt.

a b c (Å): 5.157 5.157 5.253
angles (deg): 90.00 90.00 90.00
Positions (direct):
Cd  0.000  0.500  0.000
Cd  0.500  0.000  0.000
Ni  0.000  0.000  0.500
Bi  0.500  0.500  0.500
Pt  0.500  0.500  0.000

Results
For the calculated volume, the calculation gives 139.7 Å³/cell. The calculation puts the calculated formation energy at 283 kJ/mol of formula units. Its total magnetization is 0.00 Bohr magnetons per cell.



[11]
VASP calculation (PBE-GGA) on a relaxed structure of TaAlAu.

a b c (Å): 6.179 6.179 6.179
angles (deg): 90.00 90.00 90.00
Positions (direct):
Ta  0.000  0.000  0.000
Ta  0.000  0.500  0.500
Ta  0.500  0.000  0.500
Ta  0.500  0.500  0.000
Al  0.000  0.000  0.500
Al  0.000  0.500  0.000
Al  0.500  0.000  0.000
Al  0.500  0.500  0.500
Au  0.250  0.250  0.750
Au  0.250  0.750  0.250
Au  0.750  0.250  0.250
Au  0.750  0.750  0.750

Results
For the calculated volume, the calculation gives 235.9 Å³/cell. The calculation puts the calculated formation energy at 47 kJ/mol of formula units. Its total magnetization is 0.91 Bohr magnetons per cell.



[12]
VASP calculation (PBE-GGA) on a relaxed structure of MgCu2O2.

a b c (Å): 5.723 5.723 5.723
angles (deg): 125.96 125.96 79.95
Positions (direct):
Mg  0.375  0.625  0.750
Mg  0.625  0.375  0.250
Cu  0.000  0.000  0.000
Cu  0.000  0.000  0.500
Cu  0.000  0.500  0.000
Cu  0.500  0.000  0.500
O  0.153  0.403  0.750
O  0.403  0.153  0.250
O  0.597  0.847  0.750
O  0.847  0.597  0.250

Results
For the calculated volume, the calculation gives 118.6 Å³/cell. Its total magnetization is 0.00 Bohr magnetons per cell. For the raw formation energy, the calculation gives -1.11 eV per atom.



Q: Among the records above, which one has the highest total magnetization?
A: BaTlOs2S



Q: Which value of calculated volume does entry 1 give?
A: 135.6 Å³/cell



Q: Which formula does entry 8 have?
A: YScHg4